1.
Material: Pm4Te2IrCl
Method: DFT, PBE-GGA
State: relaxed

abc: 7.512 4.217 7.725
angles: 90.00 108.48 90.00
Space group P2/m (No. 10)
Unique sites:
Pm 0.214 0.000 0.210 x2
Pm 0.241 0.500 0.773 x2
Te 0.000 0.000 0.500 x1
Te 0.500 0.500 0.500 x1
Ir 0.000 0.500 0.000 x1
Cl 0.500 0.000 0.000 x1

Output
The formation energy without anion corrections is -1256.7 meV/atom. For the magnetization, the calculation gives 0.000 μB/f.u. Its theoretical density is 7.606 g cm⁻³.

2.
Material: Pm8Te4Ir3Cl
Method: DFT, PBE-GGA
State: relaxed

abc: 8.5072 8.5072 22.2768
angles: 90.00 90.00 120.00
Space group R-3m (No. 166, hexagonal axes)
Unique sites:
Pm 0.0000 0.0000 0.2354 x6
Pm 0.0209 0.5104 0.7617 x18
Te 0.0000 0.0000 0.0000 x3
Te 0.0000 0.5000 0.0000 x9
Ir 0.0000 0.5000 0.5000 x9
Cl 0.0000 0.0000 0.5000 x3

Output
The formation energy without anion corrections is -1152.7 meV/atom. For the magnetization, the calculation gives 0.000 μB/f.u. Its theoretical density is 8.143 g cm⁻³.

3.
Material: Pr2IrCl
Method: DFT, PBE-GGA
State: relaxed

abc: 4.1552 4.1552 23.2450
angles: 90.00 90.00 120.00
Space group R3m (No. 160, hexagonal axes)
Unique sites:
Pr 0.0000 0.0000 0.0000 x3
Pr 0.0000 0.0000 0.2002 x3
Ir 0.0000 0.0000 0.5999 x3
Cl 0.0000 0.0000 0.4292 x3

Output
The formation energy without anion corrections is -1148.8 meV/atom. The calculation puts the offset from the most stable computed form at 0.123 eV per formula unit. For the magnetization, the calculation gives 0.000 μB/f.u. Its theoretical density is 7.302 g cm⁻³.

4.
Material: Pr2IrCl2
Method: DFT, PBE-GGA
State: relaxed

abc: 4.1291 4.1291 31.6065
angles: 90.00 90.00 120.00
Space group R-3m (No. 166, hexagonal axes)
Unique sites:
Pr 0.0000 0.0000 0.1136 x6
Ir 0.0000 0.0000 0.5000 x3
Cl 0.0000 0.0000 0.2754 x6

Output
The formation energy without anion corrections is -1451.5 meV/atom. For the magnetization, the calculation gives 0.000 μB/f.u. Its theoretical density is 5.817 g cm⁻³.

5.
Material: PrIrCl
Method: DFT, PBE-GGA
State: relaxed

abc: 4.243 14.555 4.845
angles: 90.00 90.00 90.00
Space group Cmcm (No. 63)
Unique sites:
Pr 0.000 0.115 0.250 x4
Ir 0.000 0.483 0.250 x4
Cl 0.000 0.230 0.750 x4

Output
The formation energy without anion corrections is -1161.9 meV/atom. The calculation puts the offset from the most stable computed form at 0.664 eV per formula unit. For the magnetization, the calculation gives 0.000 μB/f.u. Its theoretical density is 8.181 g cm⁻³.

6.
Material: Pr4Ir2Cl3
Method: DFT, PBE-GGA
State: relaxed

abc: 7.146 4.126 18.367
angles: 90.00 90.07 90.00
Space group C2/m (No. 12)
Unique sites:
Pr 0.001 0.000 0.301 x4
Pr 0.166 0.500 0.876 x4
Ir 0.167 0.500 0.208 x4
Cl 0.000 0.000 0.000 x2
Cl 0.165 0.500 0.603 x4

Output
The formation energy without anion corrections is -1330.0 meV/atom. For the magnetization, the calculation gives 0.000 μB/f.u. Its theoretical density is 6.467 g cm⁻³.

7.
Material: Pr6IrCl8
Method: DFT, PBE-GGA
State: relaxed

abc: 7.4536 7.4536 29.2464
angles: 90.00 90.00 120.00
Space group R-3 (No. 148, hexagonal axes)
Unique sites:
Pr 0.0015 0.2998 0.0578 x18
Ir 0.0000 0.0000 0.0000 x3
Cl 0.0000 0.0000 0.3332 x6
Cl 0.0019 0.3501 0.8896 x18

Output
The formation energy without anion corrections is -1705.2 meV/atom. For the magnetization, the calculation gives 0.000 μB/f.u. Its theoretical density is 4.678 g cm⁻³.

8.
Material: Pr4Ir2Cl
Method: DFT, PBE-GGA
State: relaxed

abc: 12.234 12.234 12.234
angles: 90.00 90.00 90.00
Space group Fd-3m (No. 227, origin choice 2)
Unique sites:
Pr 0.015 0.015 0.235 x32
Ir 0.000 0.000 0.000 x16
Cl 0.125 0.125 0.625 x8

Output
The formation energy without anion corrections is -879.7 meV/atom. For the magnetization, the calculation gives 0.000 μB/f.u. Its theoretical density is 7.136 g cm⁻³.